1.
ZnRe2NiAu: relaxed, PBE-GGA. Values from VASP.

```
&SYSTEM
  ibrav = 0, nat = 5, ntyp = 4
/
ATOMIC_SPECIES
Re 186.21 Re.upf
Au 196.97 Au.upf
Zn 65.41 Zn.upf
Ni 58.69 Ni.upf
CELL_PARAMETERS angstrom
4.531 0.000 0.000
0.000 4.559 0.000
0.000 0.000 4.531
ATOMIC_POSITIONS crystal
Re 0.000 0.000 0.500
Re 0.500 0.000 0.000
Au 0.000 0.500 0.000
Zn 0.000 0.000 0.000
Ni 0.500 0.500 0.500
```

Output
VASP energy ... -4.922 eV/atom
Energy relative to the elements ... 2.124 eV/atom
Crystal system ... tetragonal
Magnetic moment ... 0.327 μB per formula unit


2.
NiRhAu3: relaxed, PBE-GGA. Values from VASP.

```
&SYSTEM
  ibrav = 0, nat = 5, ntyp = 3
/
ATOMIC_SPECIES
Ni 58.69 Ni.upf
Au 196.97 Au.upf
Rh 102.91 Rh.upf
CELL_PARAMETERS angstrom
-4.397 -1.144 -1.093
0.533 -4.111 2.157
-1.489 1.905 3.999
ATOMIC_POSITIONS crystal
Ni 0.000 0.000 0.000
Au 0.000 0.000 0.500
Au 0.500 0.000 0.000
Au 0.000 0.500 0.000
Rh 0.500 0.500 0.500
```

Output
VASP energy ... -3.567 eV/atom
Energy relative to the elements ... 1.026 eV/atom
Crystal system ... cubic
Magnetic moment ... 1.531 μB per formula unit


3.
NiRhAu: relaxed, PBE-GGA. Values from VASP.

```
&SYSTEM
  ibrav = 0, nat = 6, ntyp = 3
/
ATOMIC_SPECIES
Au 196.97 Au.upf
Ni 58.69 Ni.upf
Rh 102.91 Rh.upf
CELL_PARAMETERS angstrom
-0.927 -2.043 1.606
-1.873 -1.778 -0.972
10.915 -7.476 -3.338
ATOMIC_POSITIONS crystal
Au 0.137 0.401 0.316
Au 0.911 0.915 0.118
Ni 0.296 0.139 0.954
Ni 0.416 0.846 0.479
Rh 0.670 0.378 0.808
Rh 0.708 0.273 0.625
```

Output
ΔE to the lowest computed polymorph ... 0.058 eV per atom
VASP energy ... -5.307 eV/atom
Energy relative to the elements ... 0.163 eV/atom
Crystal system ... triclinic
Magnetic moment ... 0.002 μB per formula unit


4.
Ni3RhAu: relaxed, PBE-GGA. Values from VASP.

```
&SYSTEM
  ibrav = 0, nat = 5, ntyp = 3
/
ATOMIC_SPECIES
Rh 102.91 Rh.upf
Ni 58.69 Ni.upf
Au 196.97 Au.upf
CELL_PARAMETERS angstrom
4.498 0.000 0.000
0.000 4.498 0.000
0.000 0.000 4.498
ATOMIC_POSITIONS crystal
Rh 0.000 0.000 0.000
Ni 0.500 0.000 0.000
Ni 0.000 0.500 0.000
Ni 0.000 0.000 0.500
Au 0.500 0.500 0.500
```

Output
ΔE to the lowest computed polymorph ... 0.000 eV per atom
VASP energy ... -4.403 eV/atom
Energy relative to the elements ... 1.191 eV/atom
Crystal system ... cubic
Magnetic moment ... 3.861 μB per formula unit


5.
NiRhAu: relaxed, PBE-GGA. Values from VASP.

```
&SYSTEM
  ibrav = 0, nat = 3, ntyp = 3
/
ATOMIC_SPECIES
Ni 58.69 Ni.upf
Au 196.97 Au.upf
Rh 102.91 Rh.upf
CELL_PARAMETERS angstrom
4.121 0.000 0.000
2.060 3.569 0.000
2.060 1.190 3.365
ATOMIC_POSITIONS crystal
Ni 0.750 0.750 0.750
Au 0.500 0.500 0.500
Rh 0.000 0.000 0.000
```

Output
ΔE to the lowest computed polymorph ... 0.269 eV per atom
VASP energy ... -5.096 eV/atom
Energy relative to the elements ... 0.374 eV/atom
Crystal system ... cubic
Magnetic moment ... 1.991 μB per formula unit


6.
NiRhAu4: relaxed, PBE-GGA. Values from VASP.

```
&SYSTEM
  ibrav = 0, nat = 6, ntyp = 3
/
ATOMIC_SPECIES
Au 196.97 Au.upf
Ni 58.69 Ni.upf
Rh 102.91 Rh.upf
CELL_PARAMETERS angstrom
-0.968 -5.083 -1.483
-0.840 -3.780 3.738
-4.913 -2.102 0.645
ATOMIC_POSITIONS crystal
Au 0.625 0.625 0.625
Au 0.625 0.625 0.125
Au 0.625 0.125 0.625
Au 0.125 0.625 0.625
Ni 0.250 0.250 0.250
Rh 0.000 0.000 0.000
```

Output
VASP energy ... -3.823 eV/atom
Energy relative to the elements ... 0.550 eV/atom
Crystal system ... cubic
Magnetic moment ... 1.634 μB per formula unit


7.
Ni2RhAu2: relaxed, PBE-GGA. Values from VASP.

```
&SYSTEM
  ibrav = 0, nat = 10, ntyp = 3
/
ATOMIC_SPECIES
Rh 102.91 Rh.upf
Ni 58.69 Ni.upf
Au 196.97 Au.upf
CELL_PARAMETERS angstrom
-2.895 -0.935 -5.669
-5.610 -0.910 3.015
-0.701 3.560 -0.230
ATOMIC_POSITIONS crystal
Rh 0.000 0.000 0.000
Rh 0.500 0.500 0.000
Ni 0.129 0.371 0.000
Ni 0.371 0.871 0.000
Ni 0.629 0.129 0.000
Ni 0.871 0.629 0.000
Au 0.328 0.172 0.500
Au 0.172 0.672 0.500
Au 0.828 0.328 0.500
Au 0.672 0.828 0.500
```

Output
VASP energy ... -4.816 eV/atom
Energy relative to the elements ... 0.278 eV/atom
Crystal system ... tetragonal
Magnetic moment ... 2.315 μB per formula unit


8.
Ni6RhAu: relaxed, PBE-GGA. Values from VASP.

```
&SYSTEM
  ibrav = 0, nat = 32, ntyp = 3
/
ATOMIC_SPECIES
Ni 58.69 Ni.upf
Rh 102.91 Rh.upf
Au 196.97 Au.upf
CELL_PARAMETERS angstrom
-2.569 0.069 -5.800
6.324 -0.068 -0.487
-0.117 -10.390 -0.071
ATOMIC_POSITIONS crystal
Ni 0.369 0.121 0.622
Ni 0.372 0.119 0.372
Ni 0.119 0.372 0.128
Ni 0.879 0.631 0.622
Ni 0.754 0.246 0.495
Ni 0.879 0.631 0.878
Ni 0.631 0.879 0.878
Ni 0.881 0.628 0.128
Ni 0.000 0.000 0.750
Ni 0.500 0.500 0.250
Ni 0.628 0.881 0.128
Ni 0.246 0.754 0.005
Ni 0.372 0.119 0.128
Ni 0.881 0.628 0.372
Ni 0.369 0.121 0.878
Ni 0.119 0.372 0.372
Ni 0.631 0.879 0.622
Ni 0.246 0.754 0.495
Ni 0.754 0.246 0.005
Ni 0.000 0.000 0.250
Ni 0.628 0.881 0.372
Ni 0.121 0.369 0.622
Ni 0.121 0.369 0.878
Ni 0.500 0.500 0.750
Rh 0.000 0.000 0.000
Rh 0.251 0.749 0.250
Rh 0.000 0.000 0.500
Rh 0.749 0.251 0.250
Au 0.500 0.500 0.498
Au 0.253 0.747 0.750
Au 0.500 0.500 0.002
Au 0.747 0.253 0.750
```

Output
VASP energy ... -5.604 eV/atom
Energy relative to the elements ... 0.060 eV/atom
Crystal system ... orthorhombic
Magnetic moment ... 5.046 μB per formula unit


9.
NiRhAu: relaxed, PBE-GGA. Values from VASP.

```
&SYSTEM
  ibrav = 0, nat = 3, ntyp = 3
/
ATOMIC_SPECIES
Au 196.97 Au.upf
Ni 58.69 Ni.upf
Rh 102.91 Rh.upf
CELL_PARAMETERS angstrom
-2.708 -0.068 -0.593
1.445 -2.361 0.157
-1.401 -0.429 6.453
ATOMIC_POSITIONS crystal
Au 0.000 0.000 0.011
Ni 0.667 0.333 0.345
Rh 0.333 0.667 0.644
```

Output
ΔE to the lowest computed polymorph ... 0.042 eV per atom
VASP energy ... -5.324 eV/atom
Energy relative to the elements ... 0.146 eV/atom
Crystal system ... trigonal
Magnetic moment ... 1.317 μB per formula unit


10.
NiRh2Au2: relaxed, PBE-GGA. Values from VASP.

```
&SYSTEM
  ibrav = 0, nat = 10, ntyp = 3
/
ATOMIC_SPECIES
Au 196.97 Au.upf
Rh 102.91 Rh.upf
Ni 58.69 Ni.upf
CELL_PARAMETERS angstrom
-4.005 3.228 3.656
-4.844 -3.186 -2.494
0.375 -2.884 2.958
ATOMIC_POSITIONS crystal
Au 0.665 0.835 0.500
Au 0.165 0.665 0.500
Au 0.335 0.165 0.500
Au 0.835 0.335 0.500
Rh 0.140 0.360 0.000
Rh 0.640 0.140 0.000
Rh 0.860 0.640 0.000
Rh 0.360 0.860 0.000
Ni 0.000 0.000 0.000
Ni 0.500 0.500 0.000
```

Output
VASP energy ... -4.990 eV/atom
Energy relative to the elements ... 0.417 eV/atom
Crystal system ... tetragonal
Magnetic moment ... 1.866 μB per formula unit


11.
NiRhAu: relaxed, PBE-GGA. Values from VASP.

```
&SYSTEM
  ibrav = 0, nat = 3, ntyp = 3
/
ATOMIC_SPECIES
Au 196.97 Au.upf
Rh 102.91 Rh.upf
Ni 58.69 Ni.upf
CELL_PARAMETERS angstrom
-4.390 -3.570 -1.999
-2.096 -4.727 -3.045
-0.129 -1.996 1.923
ATOMIC_POSITIONS crystal
Au 0.006 0.006 0.994
Rh 0.319 0.319 0.681
Ni 0.675 0.675 0.325
```

Output
ΔE to the lowest computed polymorph ... 0.000 eV per atom
VASP energy ... -5.365 eV/atom
Energy relative to the elements ... 0.105 eV/atom
Crystal system ... tetragonal
Magnetic moment ... 1.467 μB per formula unit


12.
ScNiRhAu: relaxed, PBE-GGA. Values from VASP.

```
&SYSTEM
  ibrav = 0, nat = 4, ntyp = 4
/
ATOMIC_SPECIES
Rh 102.91 Rh.upf
Au 196.97 Au.upf
Ni 58.69 Ni.upf
Sc 44.96 Sc.upf
CELL_PARAMETERS angstrom
-3.188 -1.855 -0.956
0.938 -2.880 2.459
-2.036 1.933 3.040
ATOMIC_POSITIONS crystal
Rh 0.000 0.500 0.500
Au 0.500 0.500 0.000
Ni 0.000 0.000 0.000
Sc 0.500 0.000 0.500
```

Output
ΔE to the lowest computed polymorph ... 0.000 eV per atom
VASP energy ... -6.268 eV/atom
Energy relative to the elements ... -0.582 eV/atom
Crystal system ... orthorhombic
Magnetic moment ... 0.350 μB per formula unit


13.
ScNiRhAu: relaxed, PBE-GGA. Values from VASP.

```
&SYSTEM
  ibrav = 0, nat = 4, ntyp = 4
/
ATOMIC_SPECIES
Ni 58.69 Ni.upf
Sc 44.96 Sc.upf
Rh 102.91 Rh.upf
Au 196.97 Au.upf
CELL_PARAMETERS angstrom
4.468 0.000 0.000
2.234 3.870 0.000
2.234 1.290 3.648
ATOMIC_POSITIONS crystal
Ni 0.250 0.250 0.250
Sc 0.000 0.000 0.000
Rh 0.750 0.750 0.750
Au 0.500 0.500 0.500
```

Output
ΔE to the lowest computed polymorph ... 0.152 eV per atom
VASP energy ... -6.115 eV/atom
Energy relative to the elements ... -0.430 eV/atom
Crystal system ... cubic
Magnetic moment ... 0.000 μB per formula unit